No. 1
A plane-wave DFT calculation with GGA-PBE was carried out for crystalline ScAl3Ge at its relaxed geometry.

Symmetry: No. 221
E_form: 511 meV/atom
Density of states at the Fermi level: 3.6 states/eV/cell
Energy relative to the lowest polymorph listed for this composition: 0.000 eV/f.u.
E: -3.9240 eV per atom

Cell and atoms, written as CIF:
```
data_ScAl3Ge
_space_group_name_H-M_alt 'P 1'
_space_group_IT_number 1
_space_group_name_Hall 'P 1'
_cell_length_a 4.855
_cell_length_b 4.855
_cell_length_c 4.855
_cell_angle_alpha 90.00
_cell_angle_beta 90.00
_cell_angle_gamma 90.00
loop_
_atom_site_label
_atom_site_type_symbol
_atom_site_fract_x
_atom_site_fract_y
_atom_site_fract_z
Al1 Al 0.000 0.500 0.000
Ge1 Ge 0.000 0.000 0.000
Sc1 Sc 0.500 0.500 0.500
Al2 Al 0.500 0.000 0.000
Al3 Al 0.000 0.000 0.500
```

=====

No. 2
A plane-wave DFT calculation with GGA-PBE was carried out for crystalline CrAgH at its relaxed geometry.

Symmetry: No. 62
Density of states at the Fermi level: 5.0 states/eV/cell
Energy relative to the lowest polymorph listed for this composition: 0.788 eV/f.u.
E: -4.8614 eV per atom

Cell and atoms, written as CIF:
```
data_CrAgH
_space_group_name_H-M_alt 'P 1'
_space_group_IT_number 1
_space_group_name_Hall 'P 1'
_cell_length_a 6.135
_cell_length_b 2.938
_cell_length_c 7.659
_cell_angle_alpha 90.00
_cell_angle_beta 90.00
_cell_angle_gamma 90.00
loop_
_atom_site_label
_atom_site_type_symbol
_atom_site_fract_x
_atom_site_fract_y
_atom_site_fract_z
Ag1 Ag 0.001 0.750 0.165
Ag2 Ag 0.501 0.750 0.335
Cr1 Cr 0.126 0.250 0.472
Cr2 Cr 0.626 0.250 0.028
Cr3 Cr 0.874 0.750 0.528
Ag3 Ag 0.999 0.250 0.835
Cr4 Cr 0.374 0.750 0.972
H1 H 0.362 0.250 0.115
Ag4 Ag 0.499 0.250 0.665
H2 H 0.862 0.250 0.385
H3 H 0.138 0.750 0.615
H4 H 0.638 0.750 0.885
```